A plane-wave DFT calculation with PBE-GGA was carried out for crystalline SrCr2FeMo at its relaxed geometry.

For the calculated formation energy, the calculation gives 5.0 eV/f.u. For the calculated volume, the calculation gives 108.93 Å³ per cell.

It has space group P4/mmm (No. 123), with a = 4.7933 Å, b = 4.7933 Å, c = 4.7411 Å, α = 90.00°, β = 90.00° and γ = 90.00°. The inequivalent atoms are Sr at (0.0000, 0.0000, 0.0000), Cr at (0.0000, 0.5000, 0.5000), Fe at (0.5000, 0.5000, 0.0000) and Mo at (0.5000, 0.5000, 0.5000).